VASP calculation (PBE-GGA) on Sc2BeCd after structural relaxation.

abc: 4.140 4.140 20.021
angles: 90.00 90.00 90.00
Space group I-42d (No. 122)
Inequivalent atoms, fractional coordinates:
Sc: 0.237 0.250 0.125 x8
Be: 0.000 0.000 0.000 x4
Cd: 0.000 0.000 0.500 x4

Properties
Its crystal system is tetragonal. The value obtained for the magnetic moment is 2.76 μB per cell. The calculation puts the polymorph energy (0 for the lowest one) at 709.3 meV per atom. As for the formation energy: 0.54 eV/atom.